# Co2MoIrF

A geometry-optimized Co2MoIrF structure (GGA+U, Alexandria via LeMat-Bulk).

Output
volume = 22.34 Å³/atom
electronic total energy = -3.6166 eV per atom
DOS(E_F) = 12.141 states/eV/f.u.

Unit cell a=4.921 b=4.612 c=4.921 alpha=90.00 beta=90.00 gamma=90.00
Last column: magnetic moment on the atom in μB.
Atoms (fractional coordinates):
Mo  0.000  0.000  0.000  0.69
Ir  0.000  0.500  0.000  -0.07
Co  0.000  0.000  0.500  2.46
Co  0.500  0.000  0.000  2.28
F  0.500  0.500  0.500  0.11